# 1
# Ir2C

A geometry-optimized Ir2C structure (PBE-GGA, the Alexandria database).

Lattice parameters (Å, degrees): 3.223 10.618 4.275 90.00 90.00 90.00
Space group Cmcm (No. 63)
Asymmetric unit:
Ir  0.000  0.079  0.250 [4 per cell]
Ir  0.000  0.345  0.250 [4 per cell]
C  0.000  0.303  0.750 [4 per cell]

Results
Formation enthalpy at 0 K (kcal/mol of atoms): 17.8
Relative energy among the computed polymorphs (meV/atom): 215

# 2
# Cs3RbSe

A geometry-optimized Cs3RbSe structure (PBE-GGA, the Alexandria database).

Lattice parameters (Å, degrees): 7.679 7.679 7.679 90.00 90.00 90.00
Space group Pm-3m (No. 221)
Asymmetric unit:
Cs  0.000  0.000  0.500 [3 per cell]
Rb  0.000  0.000  0.000 [1 per cell]
Se  0.500  0.500  0.500 [1 per cell]

Results
ΔE_f (raw) (eV per atom): 0.2177
Relative energy among the computed polymorphs (meV/atom): 787

# 3
# NiP4W

A geometry-optimized NiP4W structure (PBE-GGA, the Alexandria database).

Lattice parameters (Å, degrees): 5.226 6.759 5.549 90.00 91.34 90.00
Space group P2/c (No. 13)
Asymmetric unit:
Ni  0.000  0.145  0.250 [2 per cell]
P  0.169  0.400  0.052 [4 per cell]
P  0.182  0.143  0.630 [4 per cell]
W  0.500  0.403  0.750 [2 per cell]

Results
Formation enthalpy at 0 K (kcal/mol of atoms): -1.6
Relative energy among the computed polymorphs (meV/atom): 0

# 4
# Bi2SbS4I

A geometry-optimized Bi2SbS4I structure (PBE-GGA, the Alexandria database).

Lattice parameters (Å, degrees): 13.170 3.966 9.958 90.00 117.22 90.00
Space group C2/m (No. 12)
Asymmetric unit:
Bi  0.208  0.000  0.267 [4 per cell]
Sb  0.000  0.000  0.500 [2 per cell]
S  0.120  0.500  0.439 [4 per cell]
S  0.177  0.000  0.789 [4 per cell]
I  0.000  0.500  0.000 [2 per cell]

Results
ΔE_f (raw) (eV per atom): -0.3034